V2CuReO8 | PBE+U | relaxed

* symmetry: Cmmm, No. 65
* Fermi-level density of states: 0.2026 states/eV/atom
* E_tot: -7.4956 eV/atom

CIF file:
```
data_V2CuReO8
_cell_length_a 4.544
_cell_length_b 4.543
_cell_length_c 6.225
_cell_angle_alpha 90.00
_cell_angle_beta 90.00
_cell_angle_gamma 90.42
_symmetry_space_group_name_H-M 'P 1'
_symmetry_Int_Tables_number 1
loop_
_symmetry_equiv_pos_as_xyz
'x,y,z'
loop_
_atom_site_label
_atom_site_type_symbol
_atom_site_fract_x
_atom_site_fract_y
_atom_site_fract_z
V1 V 0.500 0.500 0.263
V2 V 0.500 0.500 0.737
O1 O 0.704 0.704 0.000
O2 O 0.205 0.794 0.222
O3 O 0.296 0.296 0.000
O4 O 0.795 0.206 0.222
O5 O 0.307 0.307 0.500
O6 O 0.693 0.693 0.500
O7 O 0.795 0.206 0.778
O8 O 0.205 0.794 0.778
Re1 Re 0.000 0.000 0.000
Cu1 Cu 0.000 0.000 0.500
```